No. 1
VASP calculation (PBE) on a relaxed structure of P2PdCCl.

- V: 14.61 A^3/atom

a b c (Å): 4.0298 4.0298 4.4982
angles (deg): 90.00 90.00 90.00
With the nearest neighbours (Å) after each atom.
Sites, in units of the cell vectors:
P (0.0000, 0.5000, 0.0000)  2 C 2.01
P (0.5000, 0.0000, 0.0000)  2 C 2.01
Pd (0.0000, 0.0000, 0.5000)  4 Cl 2.85, 8 P 3.02
C (0.5000, 0.5000, 0.0000)  4 P 2.01, 2 Cl 2.25
Cl (0.5000, 0.5000, 0.5000)  2 C 2.25

No. 2
VASP calculation (PBE) on a relaxed structure of PPdCCl2.

- V: 22.35 A^3/atom

a b c (Å): 4.9437 4.9437 4.5717
angles (deg): 90.00 90.00 90.00
With the nearest neighbours (Å) after each atom.
Sites, in units of the cell vectors:
P (0.0000, 0.0000, 0.0000)  2 Pd 2.29
Pd (0.0000, 0.0000, 0.5000)  2 P 2.29, 4 Cl 2.47
C (0.5000, 0.5000, 0.0000)  8 Cl 3.37, 4 P 3.50
Cl (0.0000, 0.5000, 0.5000)  2 Pd 2.47
Cl (0.5000, 0.0000, 0.5000)  2 Pd 2.47

No. 3
VASP calculation (PBE) on a relaxed structure of Pm8PC3Cl4.

- V: 22.64 A^3/atom

a b c (Å): 8.3404 8.3404 8.3404
angles (deg): 54.98 54.98 54.98
With the nearest neighbours (Å) after each atom.
Sites, in units of the cell vectors:
Pm (0.2109, 0.7428, 0.7428)  2 C 2.56, 1 P 2.74
Pm (0.2300, 0.2300, 0.2300)  3 C 2.60
Pm (0.2572, 0.2572, 0.7891)  2 C 2.56, 1 P 2.74
Pm (0.2572, 0.7891, 0.2572)  2 C 2.56, 1 P 2.74
Pm (0.7428, 0.2109, 0.7428)  2 C 2.56, 1 P 2.74
Pm (0.7428, 0.7428, 0.2109)  2 C 2.56, 1 P 2.74
Pm (0.7700, 0.7700, 0.7700)  3 C 2.60
Pm (0.7891, 0.2572, 0.2572)  2 C 2.56, 1 P 2.74
P (0.5000, 0.5000, 0.5000)  6 Pm 2.74
C (0.0000, 0.0000, 0.5000)  6 Pm 2.56-2.60
C (0.0000, 0.5000, 0.0000)  6 Pm 2.56-2.60
C (0.5000, 0.0000, 0.0000)  6 Pm 2.56-2.60
Cl (0.0000, 0.0000, 0.0000)  6 Pm 2.99
Cl (0.0000, 0.5000, 0.5000)  6 Pm 3.12-3.14
Cl (0.5000, 0.0000, 0.5000)  6 Pm 3.12-3.14
Cl (0.5000, 0.5000, 0.0000)  6 Pm 3.12-3.14

No. 4
VASP calculation (PBE) on a relaxed structure of Pm4PCCl2.

- V: 23.60 A^3/atom

a b c (Å): 6.9086 3.9084 7.3458
angles (deg): 90.00 107.88 90.00
With the nearest neighbours (Å) after each atom.
Sites, in units of the cell vectors:
Pm (0.2103, 0.0000, 0.1971)  2 C 2.60, 1 P 2.81
Pm (0.2384, 0.5000, 0.7964)  1 C 2.54, 2 P 2.77
Pm (0.7616, 0.5000, 0.2036)  1 C 2.54, 2 P 2.77
Pm (0.7897, 0.0000, 0.8029)  2 C 2.60, 1 P 2.81
P (0.5000, 0.0000, 0.0000)  6 Pm 2.77-2.81
C (0.0000, 0.5000, 0.0000)  6 Pm 2.54-2.60
Cl (0.0000, 0.0000, 0.5000)  6 Pm 3.01
Cl (0.5000, 0.5000, 0.5000)  6 Pm 3.17-3.23

No. 5
VASP calculation (PBE) on a relaxed structure of Pm6P2CCl3.

- V: 24.24 A^3/atom

a b c (Å): 9.3003 9.3003 8.4293
angles (deg): 106.19 106.19 24.60
With the nearest neighbours (Å) after each atom.
Sites, in units of the cell vectors:
Pm (0.0053, 0.0053, 0.2051)  2 C 2.61, 1 P 2.80
Pm (0.3265, 0.3265, 0.4411)  3 P 2.76-2.80, 3 Cl 3.05-3.07
Pm (0.3553, 0.3553, 0.9130)  1 C 2.52, 2 P 2.78
Pm (0.6447, 0.6447, 0.0870)  1 C 2.52, 2 P 2.78
Pm (0.6735, 0.6735, 0.5589)  3 P 2.76-2.80, 3 Cl 3.05-3.07
Pm (0.9947, 0.9947, 0.7949)  2 C 2.61, 1 P 2.80
P (0.1656, 0.1656, 0.3268)  6 Pm 2.76-2.80
P (0.8344, 0.8344, 0.6732)  6 Pm 2.76-2.80
C (0.5000, 0.5000, 0.0000)  6 Pm 2.52-2.61
Cl (0.1655, 0.1655, 0.8318)  6 Pm 3.03-3.32
Cl (0.5000, 0.5000, 0.5000)  6 Pm 3.05-3.20
Cl (0.8345, 0.8345, 0.1682)  6 Pm 3.03-3.32

No. 6
VASP calculation (PBE) on a relaxed structure of Pm6PC2Cl3.

- V: 22.96 A^3/atom

a b c (Å): 9.2051 9.2051 8.3677
angles (deg): 108.13 108.13 24.20
With the nearest neighbours (Å) after each atom.
Sites, in units of the cell vectors:
Pm (0.0228, 0.0228, 0.2465)  1 C 2.50, 2 P 2.76
Pm (0.3188, 0.3188, 0.4467)  3 C 2.55-2.62
Pm (0.3337, 0.3337, 0.8663)  2 C 2.55, 1 P 2.84
Pm (0.6663, 0.6663, 0.1337)  2 C 2.55, 1 P 2.84
Pm (0.6812, 0.6812, 0.5533)  3 C 2.55-2.62
Pm (0.9772, 0.9772, 0.7535)  1 C 2.50, 2 P 2.76
P (0.5000, 0.5000, 0.0000)  6 Pm 2.76-2.84
C (0.1694, 0.1694, 0.3353)  6 Pm 2.50-2.62
C (0.8306, 0.8306, 0.6647)  6 Pm 2.50-2.62
Cl (0.1648, 0.1648, 0.8288)  6 Pm 2.96-3.23
Cl (0.5000, 0.5000, 0.5000)  6 Pm 2.99-3.15
Cl (0.8352, 0.8352, 0.1712)  6 Pm 2.96-3.23

No. 7
VASP calculation (PBE) on a relaxed structure of Pr8P3CCl4.

- V: 25.70 A^3/atom

a b c (Å): 8.4943 8.4943 8.4943
angles (deg): 57.77 57.77 57.77
With the nearest neighbours (Å) after each atom.
Sites, in units of the cell vectors:
Pr (0.2382, 0.2382, 0.2382)  3 P 2.81, 3 Cl 3.11
Pr (0.2624, 0.7218, 0.7218)  1 C 2.62, 2 P 2.87
Pr (0.2782, 0.2782, 0.7376)  1 C 2.62, 2 P 2.87
Pr (0.2782, 0.7376, 0.2782)  1 C 2.62, 2 P 2.87
Pr (0.7218, 0.2624, 0.7218)  1 C 2.62, 2 P 2.87
Pr (0.7218, 0.7218, 0.2624)  1 C 2.62, 2 P 2.87
Pr (0.7376, 0.2782, 0.2782)  1 C 2.62, 2 P 2.87
Pr (0.7618, 0.7618, 0.7618)  3 P 2.81, 3 Cl 3.11
P (0.0000, 0.0000, 0.5000)  6 Pr 2.81-2.87
P (0.0000, 0.5000, 0.0000)  6 Pr 2.81-2.87
P (0.5000, 0.0000, 0.0000)  6 Pr 2.81-2.87
C (0.5000, 0.5000, 0.5000)  6 Pr 2.62
Cl (0.0000, 0.0000, 0.0000)  6 Pr 3.29
Cl (0.0000, 0.5000, 0.5000)  6 Pr 3.08-3.11
Cl (0.5000, 0.0000, 0.5000)  6 Pr 3.08-3.11
Cl (0.5000, 0.5000, 0.0000)  6 Pr 3.08-3.11

No. 8
VASP calculation (PBE) on a relaxed structure of Pr8PC3Cl4.

- V: 23.89 A^3/atom

a b c (Å): 8.5130 8.5130 8.5130
angles (deg): 54.68 54.68 54.68
With the nearest neighbours (Å) after each atom.
Sites, in units of the cell vectors:
Pr (0.2120, 0.7428, 0.7428)  2 C 2.61, 1 P 2.79
Pr (0.2304, 0.2304, 0.2304)  3 C 2.65
Pr (0.2572, 0.2572, 0.7880)  2 C 2.61, 1 P 2.79
Pr (0.2572, 0.7880, 0.2572)  2 C 2.61, 1 P 2.79
Pr (0.7428, 0.2120, 0.7428)  2 C 2.61, 1 P 2.79
Pr (0.7428, 0.7428, 0.2120)  2 C 2.61, 1 P 2.79
Pr (0.7696, 0.7696, 0.7696)  3 C 2.65
Pr (0.7880, 0.2572, 0.2572)  2 C 2.61, 1 P 2.79
P (0.5000, 0.5000, 0.5000)  6 Pr 2.79
C (0.0000, 0.0000, 0.5000)  6 Pr 2.61-2.65
C (0.0000, 0.5000, 0.0000)  6 Pr 2.61-2.65
C (0.5000, 0.0000, 0.0000)  6 Pr 2.61-2.65
Cl (0.0000, 0.0000, 0.0000)  6 Pr 3.04
Cl (0.0000, 0.5000, 0.5000)  6 Pr 3.17-3.19
Cl (0.5000, 0.0000, 0.5000)  6 Pr 3.17-3.19
Cl (0.5000, 0.5000, 0.0000)  6 Pr 3.17-3.19

Number 1: formation energy without anion corrections 1.171 eV/atom. Number 2: formation energy without anion corrections 1.584 eV/atom. Number 3: formation energy without anion corrections -1.180 eV/atom. Number 4: formation energy without anion corrections -1.320 eV/atom. Number 5: formation energy without anion corrections -1.419 eV/atom. Number 6: formation energy without anion corrections -1.233 eV/atom. Number 7: formation energy without anion corrections -1.456 eV/atom. Number 8: formation energy without anion corrections -1.142 eV/atom.